Record 1
Density functional theory data (PBE) for a geometry-optimized PrZnNi5Ge2 structure.

Computed properties:
Its density of states at the Fermi level is 3.409 states/eV/cell. The uncorrected energy is -45.36 eV/f.u.

Unit cell a=3.8718 b=3.8718 c=10.0213 alpha=90.00 beta=90.00 gamma=90.00
With the nearest neighbours (Å) after each atom.
Fractional positions:
Pr  0.0000  0.0000  0.5000  4 Ni 2.74
Zn  0.0000  0.0000  0.0000  8 Ni 2.42
Ni  0.0000  0.5000  0.1444  2 Ge 2.33, 2 Zn 2.42
Ni  0.5000  0.0000  0.1444  2 Ge 2.33, 2 Zn 2.42
Ni  0.0000  0.5000  0.8556  2 Ge 2.33, 2 Zn 2.42
Ni  0.5000  0.0000  0.8556  2 Ge 2.33, 2 Zn 2.42
Ni  0.5000  0.5000  0.5000  2 Ge 2.27
Ge  0.5000  0.5000  0.2734  5 Ni 2.27-2.33
Ge  0.5000  0.5000  0.7266  5 Ni 2.27-2.33


Record 2
Density functional theory data (PBE) for a geometry-optimized HgTeAs2Se structure.

Computed properties:
The polymorph energy (0 for the lowest one) is 0.0 meV/atom. Its density of states at the Fermi level is 4.906 states/eV/cell. The energy relative to the elements, uncorrected comes out at 0.80 eV per atom.

Unit cell a=5.4396 b=5.4396 c=5.3787 alpha=90.00 beta=90.00 gamma=90.00
With the nearest neighbours (Å) after each atom.
Fractional positions:
As  0.0000  0.5000  0.0000  2 Te 2.72
As  0.5000  0.0000  0.0000  2 Te 2.72
Te  0.0000  0.0000  0.0000  2 Se 2.69, 4 As 2.72
Hg  0.5000  0.5000  0.5000  8 As 3.82, 4 Se 3.85
Se  0.0000  0.0000  0.5000  2 Te 2.69


Record 3
Density functional theory data (PBE) for a geometry-optimized RbMg structure.

Computed properties:
Its density of states at the Fermi level is 1.826 states/eV/cell. The uncorrected energy is -1.83 eV/f.u.

Unit cell a=4.1786 b=4.1786 c=6.4603 alpha=90.00 beta=90.00 gamma=120.00
With the nearest neighbours (Å) after each atom.
Fractional positions:
Mg  0.3333  0.6667  0.5000  6 Rb 4.03, 6 Mg 4.18
Rb  0.0000  0.0000  0.0000  6 Mg 4.03, 6 Rb 4.18


Record 4
Density functional theory data (PBE) for a geometry-optimized SiPtO structure.

Computed properties:
The polymorph energy (0 for the lowest one) is 0.0 meV/atom. Its density of states at the Fermi level is 1.057 states/eV/cell. The energy relative to the elements, uncorrected comes out at -1.34 eV per atom.

Unit cell a=2.7336 b=6.0579 c=6.7570 alpha=72.02 beta=78.42 gamma=76.49
With the nearest neighbours (Å) after each atom.
Fractional positions:
Pt  0.6629  0.7098  0.9577  2 Si 2.32-2.33
Pt  0.3371  0.2902  0.0423  2 Si 2.32-2.33
O  0.0970  0.1876  0.6239  2 Si 1.68
O  0.9030  0.8124  0.3761  2 Si 1.68
Si  0.5639  0.1087  0.7732  2 O 1.68
Si  0.4361  0.8913  0.2268  2 O 1.68